# 1
A relaxed structure of Tl2SiS3. Source: the Alexandria database, functional PBE.

Results
Density   5.27 g/cm³
Total magnetic moment   0.000 μB/atom
E_form (uncorrected)   -0.55 eV per atom

Cell and atoms, written as POSCAR:
```
Tl2SiS3
1.0
-0.4444 5.0447 -4.1665
-5.8471 4.7142 1.1707
8.4888 8.2664 9.1058
Tl Si S
8 4 12
direct
0.5481 0.4030 0.3602
0.0488 0.4030 0.1398
0.4519 0.5970 0.6398
0.9512 0.5970 0.8602
0.3624 0.7751 0.0532
0.8624 0.7751 0.4468
0.6376 0.2249 0.9468
0.1376 0.2249 0.5532
0.7532 0.9937 0.1746
0.2531 0.9937 0.3254
0.2468 0.0063 0.8254
0.7469 0.0063 0.6746
0.5728 0.8543 0.2500
0.4272 0.1457 0.7500
0.6022 0.2960 0.1632
0.1018 0.2960 0.3368
0.3978 0.7040 0.8368
0.8982 0.7040 0.6632
0.6714 0.1572 0.5515
0.1714 0.1572 0.9485
0.3286 0.8428 0.4485
0.8286 0.8428 0.0515
0.0729 0.8541 0.2500
0.9271 0.1459 0.7500
```



# 2
A relaxed structure of TlSi3S. Source: the Alexandria database, functional PBE.

Results
Energy relative to the lowest polymorph listed for this composition   0.000 eV/atom
Density   4.86 g/cm³
Total magnetic moment   0.000 μB/atom
E_form (uncorrected)   0.78 eV per atom

Cell and atoms, written as POSCAR:
```
TlSi3S
1.0
4.7838 0.0000 0.0000
0.0000 4.7838 0.0000
0.0000 0.0000 4.7838
Tl Si S
1 3 1
direct
0.5000 0.5000 0.5000
0.0000 0.5000 0.0000
0.0000 0.0000 0.5000
0.5000 0.0000 0.0000
0.0000 0.0000 0.0000
```



# 3
A relaxed structure of TlSiS2. Source: the Alexandria database, functional PBE.

Results
Density   4.29 g/cm³
Total magnetic moment   0.000 μB/atom
E_form (uncorrected)   -0.23 eV per atom

Cell and atoms, written as POSCAR:
```
TlSiS2
1.0
6.7230 0.0000 0.0000
0.0000 6.7230 0.0000
3.3615 3.3615 5.0821
Tl Si S
2 2 4
direct
0.0000 0.0000 0.0000
0.7500 0.2500 0.5000
0.5000 0.5000 0.0000
0.2500 0.7500 0.5000
0.5038 0.1250 0.2500
0.2462 0.6250 0.2500
0.3750 0.4962 0.7500
0.8750 0.7538 0.7500
```



# 4
A relaxed structure of TlSiS2. Source: the Alexandria database, functional PBE.

Results
Density   5.54 g/cm³
Total magnetic moment   0.000 μB/atom
E_form (uncorrected)   -0.39 eV per atom

Cell and atoms, written as POSCAR:
```
TlSiS2
1.0
-8.8124 2.6244 -0.7249
-9.0826 0.1901 1.5941
-8.2277 3.3176 2.5238
Tl Si S
1 1 2
direct
0.0000 0.0000 0.0000
0.5000 0.5000 0.5000
0.8816 0.8816 0.8816
0.1184 0.1184 0.1184
```



# 5
A relaxed structure of TlSiS3. Source: the Alexandria database, functional PBE.

Results
Energy relative to the lowest polymorph listed for this composition   0.289 eV/atom
Density   5.46 g/cm³
Total magnetic moment   0.000 μB/atom
E_form (uncorrected)   -0.04 eV per atom

Cell and atoms, written as POSCAR:
```
TlSiS3
1.0
4.6418 0.0000 0.0000
0.0000 4.6418 0.0000
0.0000 0.0000 4.6418
Tl Si S
1 1 3
direct
0.5000 0.5000 0.5000
0.0000 0.0000 0.0000
0.0000 0.5000 0.0000
0.0000 0.0000 0.5000
0.5000 0.0000 0.0000
```



# 6
A relaxed structure of Tl3SiS3. Source: the Alexandria database, functional PBE.

Results
Density   5.26 g/cm³
Total magnetic moment   0.000 μB/atom
E_form (uncorrected)   -0.33 eV per atom

Cell and atoms, written as POSCAR:
```
Tl3SiS3
1.0
6.4895 0.0000 0.0000
0.0000 9.0913 0.0106
0.0000 -4.5209 7.8872
Tl Si S
6 2 6
direct
0.2500 0.5990 0.7994
0.2500 0.2001 0.4010
0.2500 0.2001 0.8004
0.7500 0.4010 0.2006
0.7500 0.7999 0.5990
0.7500 0.7999 0.1996
0.7500 0.3330 0.6670
0.2500 0.6670 0.3330
0.7500 0.5969 0.7983
0.7500 0.2012 0.4031
0.7500 0.2008 0.7997
0.2500 0.4031 0.2017
0.2500 0.7988 0.5969
0.2500 0.7992 0.2003
```



# 7
A relaxed structure of Tl3SiS. Source: the Alexandria database, functional PBE.

Results
Energy relative to the lowest polymorph listed for this composition   0.000 eV/atom
Density   7.35 g/cm³
Total magnetic moment   0.000 μB/atom
E_form (uncorrected)   0.35 eV per atom

Cell and atoms, written as POSCAR:
```
Tl3SiS
1.0
-3.2535 3.7764 1.9106
-4.0362 -2.0437 -2.8337
-1.2732 -3.1716 4.1009
Tl Si S
3 1 1
direct
0.0000 0.5000 0.0000
0.0000 0.0000 0.5000
0.5000 0.0000 0.0000
0.0000 0.0000 0.0000
0.5000 0.5000 0.5000
```



# 8
A relaxed structure of TlSiS3. Source: the Alexandria database, functional PBE.

Results
Energy relative to the lowest polymorph listed for this composition   0.000 eV/atom
Density   3.95 g/cm³
Total magnetic moment   0.000 μB/atom
E_form (uncorrected)   -0.33 eV per atom

Cell and atoms, written as POSCAR:
```
TlSiS3
1.0
6.5585 -0.3384 0.0000
-1.0872 7.7181 0.0000
0.0000 0.0000 5.4997
Tl Si S
2 2 6
direct
0.2944 0.5513 0.7500
0.7056 0.4487 0.2500
0.9562 0.0989 0.7500
0.0438 0.9011 0.2500
0.7666 0.8998 0.0017
0.2334 0.1002 0.5017
0.1412 0.6624 0.2500
0.2334 0.1002 0.9983
0.8588 0.3376 0.7500
0.7666 0.8998 0.4983
```



# 9
A relaxed structure of Tm6TlSi2S3. Source: the Alexandria database, functional PBE.

Results
Density   8.33 g/cm³
Total magnetic moment   0.000 μB/atom
E_form (uncorrected)   -1.23 eV per atom

Cell and atoms, written as POSCAR:
```
Tm6TlSi2S3
1.0
3.9739 0.0000 0.0000
0.0000 8.1466 -0.1104
-1.9870 -2.7647 8.4782
Tm Tl Si S
6 1 2 3
direct
0.3250 0.9205 0.6500
0.6707 0.5688 0.3414
0.6750 0.0795 0.3500
0.9934 0.2743 0.9867
0.0066 0.7257 0.0133
0.3293 0.4312 0.6586
0.5000 0.0000 0.0000
0.8405 0.6857 0.6809
0.1595 0.3143 0.3191
0.5000 0.5000 0.0000
0.8321 0.1770 0.6643
0.1679 0.8230 0.3357
```



# 10
A relaxed structure of Tm6SiS5. Source: the Alexandria database, functional PBE.

Results
Density   8.00 g/cm³
Total magnetic moment   0.000 μB/atom
E_form (uncorrected)   -1.78 eV per atom

Cell and atoms, written as POSCAR:
```
Tm6SiS5
1.0
-2.8287 -3.7684 -4.8067
6.5051 1.6746 -0.4316
0.3445 -4.5678 4.9478
Si Tm S
1 6 5
direct
0.0000 0.0000 0.0000
0.9175 0.5877 0.7523
0.4123 0.0825 0.2477
0.7522 0.7522 0.2467
0.2478 0.2478 0.7533
0.5877 0.9175 0.7523
0.0825 0.4123 0.2477
0.8323 0.1677 0.5000
0.6667 0.3333 0.0000
0.5000 0.5000 0.5000
0.3333 0.6667 0.0000
0.1677 0.8323 0.5000
```



# 11
A relaxed structure of Tm4SiS2. Source: the Alexandria database, functional PBE.

Results
Density   8.09 g/cm³
Total magnetic moment   0.000 μB/atom
E_form (uncorrected)   -1.28 eV per atom

Cell and atoms, written as POSCAR:
```
Tm4SiS2
1.0
-2.6406 -6.7805 -1.8685
7.1033 0.9735 2.2439
-4.0580 1.9016 6.0295
Tm Si S
8 2 4
direct
0.2028 0.8653 0.2552
0.0524 0.7972 0.6625
0.6101 0.9476 0.7448
0.1347 0.3899 0.3375
0.5472 0.3024 0.1625
0.6976 0.8601 0.2448
0.1399 0.3847 0.8375
0.6153 0.4528 0.7552
0.7500 0.2500 0.5000
0.0000 0.0000 0.0000
0.8750 0.4046 0.0296
0.1546 0.1250 0.5296
0.3750 0.8454 0.9704
0.5954 0.6250 0.4704
```



# 12
A relaxed structure of TmSi2S6. Source: the Alexandria database, functional PBE.

Results
Density   3.19 g/cm³
Total magnetic moment   0.100 μB/atom
E_form (uncorrected)   -0.83 eV per atom

Cell and atoms, written as POSCAR:
```
TmSi2S6
1.0
-4.6008 1.8714 3.9599
-6.5453 -1.6882 -4.9303
-1.7444 -7.4551 3.3731
Tm Si S
2 4 12
direct
0.2500 0.1203 0.8797
0.7500 0.8797 0.1203
0.1829 0.6396 0.7905
0.3171 0.2095 0.3604
0.8171 0.3604 0.2095
0.6829 0.7905 0.6396
0.3880 0.7221 0.5754
0.1120 0.4246 0.2779
0.6120 0.2779 0.4246
0.8880 0.5754 0.7221
0.8495 0.8767 0.4192
0.6505 0.5808 0.1233
0.1505 0.1233 0.5808
0.3495 0.4192 0.8767
0.1469 0.8082 0.9678
0.3531 0.0322 0.1918
0.8531 0.1918 0.0322
0.6469 0.9678 0.8082
```



# 13
A relaxed structure of Tm4SiS4. Source: the Alexandria database, functional PBE.

Results
Density   6.54 g/cm³
Total magnetic moment   0.063 μB/atom
E_form (uncorrected)   -1.63 eV per atom

Cell and atoms, written as POSCAR:
```
Tm4SiS4
1.0
5.0513 0.0000 2.0251
2.4804 6.2297 1.1254
0.2077 -0.1197 6.7943
Tm Si S
4 1 4
direct
0.8959 0.4012 0.8070
0.1041 0.5988 0.1930
0.2971 0.8070 0.5989
0.7029 0.1930 0.4011
0.0000 0.0000 0.0000
0.6020 0.5866 0.2093
0.3980 0.4134 0.7907
0.1886 0.2093 0.4134
0.8114 0.7907 0.5866
```



# 14
A relaxed structure of Tm3Si5S12. Source: the Alexandria database, functional PBE.

Results
Density   4.20 g/cm³
Total magnetic moment   0.000 μB/atom
E_form (uncorrected)   -0.93 eV per atom

Cell and atoms, written as POSCAR:
```
Tm3Si5S12
1.0
12.8420 0.0000 0.0000
-4.2807 12.1076 0.0000
-4.2807 -6.0538 10.4855
Tm Si S
12 20 48
direct
0.7500 0.3750 0.1250
0.8750 0.7500 0.1250
0.3750 0.7500 0.6250
0.2500 0.1250 0.3750
0.8750 0.1250 0.2500
0.3750 0.6250 0.2500
0.6250 0.3750 0.7500
0.1250 0.8750 0.7500
0.7500 0.8750 0.6250
0.6250 0.2500 0.3750
0.1250 0.2500 0.8750
0.2500 0.6250 0.8750
0.1250 0.3750 0.2500
0.0000 0.5000 0.0000
0.0000 0.0000 0.0000
0.3750 0.2500 0.1250
0.5000 0.0000 0.5000
0.5000 0.5000 0.0000
0.1250 0.7500 0.3750
0.7500 0.1250 0.8750
0.7500 0.6250 0.3750
0.3750 0.1250 0.7500
0.6250 0.8750 0.2500
0.5000 0.5000 0.5000
0.5000 0.0000 0.0000
0.0000 0.0000 0.5000
0.2500 0.3750 0.6250
0.2500 0.8750 0.1250
0.0000 0.5000 0.5000
0.8750 0.2500 0.6250
0.6250 0.7500 0.8750
0.8750 0.6250 0.7500
0.7145 0.1258 0.0291
0.3145 0.5291 0.4033
0.9709 0.3742 0.2855
0.5291 0.2145 0.1258
0.5888 0.7145 0.6855
0.9709 0.5967 0.1855
0.3145 0.7855 0.4112
0.0967 0.9112 0.1258
0.5967 0.9709 0.6855
0.7145 0.5888 0.1855
0.7855 0.4709 0.3742
0.8145 0.9033 0.0291
0.1258 0.7145 0.5291
0.3742 0.4033 0.0888
0.0888 0.9033 0.3742
0.4112 0.1258 0.5967
0.0888 0.1855 0.2145
0.4709 0.6855 0.0967
0.8145 0.9112 0.2855
0.1258 0.4112 0.0967
0.3742 0.9709 0.7855
0.5967 0.6258 0.4112
0.9033 0.8145 0.5291
0.7855 0.3145 0.9112
0.4033 0.3742 0.5888
0.0967 0.1855 0.4709
0.2145 0.6855 0.0888
0.1855 0.0888 0.7145
0.6258 0.0291 0.2145
0.8742 0.5888 0.9033
0.5291 0.3145 0.9033
0.5888 0.8742 0.4033
0.9112 0.8145 0.7855
0.9112 0.0967 0.6258
0.8742 0.2855 0.4709
0.1855 0.0967 0.9709
0.6258 0.5967 0.9112
0.4033 0.0291 0.3145
0.2855 0.4112 0.8145
0.2145 0.5291 0.6258
0.9033 0.0888 0.8742
0.6855 0.2145 0.5888
0.4709 0.7855 0.8742
0.0291 0.4033 0.8145
0.4112 0.2855 0.3145
0.0291 0.6258 0.7145
0.6855 0.4709 0.5967
0.2855 0.8742 0.9709
```



# 15
A relaxed structure of Tm2SiS. Source: the Alexandria database, functional PBE.

Results
Energy relative to the lowest polymorph listed for this composition   0.000 eV/atom
Density   8.06 g/cm³
Total magnetic moment   0.000 μB/atom
E_form (uncorrected)   -1.38 eV per atom

Cell and atoms, written as POSCAR:
```
Tm2SiS
1.0
3.8416 0.0000 0.0000
0.0000 3.9379 -0.6994
0.0000 -0.1023 10.8594
Tm Si S
4 2 2
direct
0.7500 0.6781 0.3561
0.2500 0.3219 0.6439
0.7500 0.9335 0.8671
0.2500 0.0665 0.1329
0.2500 0.4593 0.9186
0.7500 0.5407 0.0814
0.2500 0.1929 0.3857
0.7500 0.8071 0.6143
```



# 16
A relaxed structure of TmSiS. Source: the Alexandria database, functional PBE.

Results
Density   6.50 g/cm³
Total magnetic moment   0.000 μB/atom
E_form (uncorrected)   -1.25 eV per atom

Cell and atoms, written as POSCAR:
```
TmSiS
1.0
3.6604 0.0000 0.0000
0.0000 3.6604 0.0000
-1.8302 -1.8302 8.7367
Tm Si S
2 2 2
direct
0.3538 0.3538 0.7076
0.6462 0.6462 0.2924
0.0000 0.5000 0.0000
0.5000 0.0000 0.0000
0.1888 0.1888 0.3777
0.8112 0.8112 0.6223
```



# 17
A relaxed structure of Tm5SiS5. Source: the Alexandria database, functional PBE.

Results
Density   6.83 g/cm³
Total magnetic moment   0.000 μB/atom
E_form (uncorrected)   -1.83 eV per atom

Cell and atoms, written as POSCAR:
```
Tm5SiS5
1.0
-1.5952 -3.6162 -3.8100
4.4711 -2.4715 4.4289
-7.0103 -0.4738 3.3848
Tm Si S
5 1 5
direct
0.8395 0.6790 0.1751
0.8354 0.6709 0.6644
0.5000 0.0000 0.0000
0.1646 0.3291 0.3356
0.1605 0.3210 0.8249
0.0000 0.0000 0.0000
0.6713 0.3426 0.3337
0.6722 0.3445 0.8405
0.0000 0.0000 0.5000
0.3278 0.6555 0.1595
0.3287 0.6574 0.6663
```



# 18
A relaxed structure of Tm3SiS2. Source: the Alexandria database, functional PBE.

Results
Density   7.71 g/cm³
Total magnetic moment   0.000 μB/atom
E_form (uncorrected)   -1.60 eV per atom

Cell and atoms, written as POSCAR:
```
Tm3SiS2
1.0
-2.2823 3.1746 0.5362
-1.4745 -1.9051 5.0032
6.4192 2.2200 -0.3445
Tm Si S
3 1 2
direct
0.8350 0.3350 0.1700
0.1650 0.6650 0.8300
0.5000 0.0000 0.5000
0.5000 0.5000 0.5000
0.8326 0.8326 0.1653
0.1674 0.1674 0.8347
```



# 19
A relaxed structure of Tm2SiS. Source: the Alexandria database, functional PBE.

Results
Energy relative to the lowest polymorph listed for this composition   0.182 eV/atom
Density   7.27 g/cm³
Total magnetic moment   0.000 μB/atom
E_form (uncorrected)   -1.20 eV per atom

Cell and atoms, written as POSCAR:
```
Tm2SiS
1.0
3.9024 0.0000 0.0000
1.9512 3.3796 0.0000
1.9512 1.1265 6.8966
Tm Si S
2 1 1
direct
0.0799 0.0799 0.7604
0.2546 0.2546 0.2363
0.6677 0.6677 0.9968
0.4978 0.4978 0.5066
```



# 20
A relaxed structure of Tm2SiS. Source: the Alexandria database, functional PBE.

Results
Energy relative to the lowest polymorph listed for this composition   0.041 eV/atom
Density   7.45 g/cm³
Total magnetic moment   0.000 μB/atom
E_form (uncorrected)   -1.34 eV per atom

Cell and atoms, written as POSCAR:
```
Tm2SiS
1.0
-0.2270 3.2170 -2.2875
-3.4793 1.7979 -0.5434
-0.0904 5.4658 4.2787
S Tm Si
1 2 1
direct
0.5000 0.5000 0.5000
0.7491 0.7491 0.7526
0.2509 0.2509 0.2474
0.0000 0.0000 0.0000
```